# Ga2Bi2Te PBE-GGA relaxed
data_Ga2Bi2Te
_chemical_formula_sum 'Ga4 Bi4 Te2'
_symmetry_space_group_name_H-M 'P 4/m b m'
_symmetry_Int_Tables_number 127
_symmetry_space_group_name_Hall '-P 4 2ab'
_cell_length_a 8.7499
_cell_length_b 8.7499
_cell_length_c 3.5080
_cell_angle_alpha 90.00
_cell_angle_beta 90.00
_cell_angle_gamma 90.00
loop_
_atom_site_label
_atom_site_type_symbol
_atom_site_fract_x
_atom_site_fract_y
_atom_site_fract_z
Ga1 Ga 0.1407 0.3593 0.0000
Bi1 Bi 0.1575 0.6575 0.5000
Te1 Te 0.0000 0.0000 0.0000
# Formation energy from raw total energies (eV/atom): 0.16
# Energy above the lowest structure with this stoichiometry (meV/atom): 101
# Calculated total energy (eV/atom): -3.2338
# Size of the total moment (Bohr magnetons per cell): 0.0

# GaBi3Te PBE-GGA relaxed
data_GaBi3Te
_chemical_formula_sum 'Ga1 Bi3 Te1'
_symmetry_space_group_name_H-M 'P m -3 m'
_symmetry_Int_Tables_number 221
_symmetry_space_group_name_Hall '-P 4 2 3'
_cell_length_a 5.5044
_cell_length_b 5.5044
_cell_length_c 5.5044
_cell_angle_alpha 90.00
_cell_angle_beta 90.00
_cell_angle_gamma 90.00
loop_
_atom_site_label
_atom_site_type_symbol
_atom_site_fract_x
_atom_site_fract_y
_atom_site_fract_z
Ga1 Ga 0.0000 0.0000 0.0000
Bi1 Bi 0.0000 0.0000 0.5000
Te1 Te 0.5000 0.5000 0.5000
# Formation energy from raw total energies (eV/atom): 0.49
# Energy above the lowest structure with this stoichiometry (meV/atom): 0
# Calculated total energy (eV/atom): -3.0745
# Size of the total moment (Bohr magnetons per cell): 0.0

# GaBi2Te2 PBE-GGA relaxed
data_GaBi2Te2
_chemical_formula_sum 'Ga2 Bi4 Te4'
_symmetry_space_group_name_H-M 'P 4/m b m'
_symmetry_Int_Tables_number 127
_symmetry_space_group_name_Hall '-P 4 2ab'
_cell_length_a 8.5561
_cell_length_b 8.5561
_cell_length_c 4.3458
_cell_angle_alpha 90.00
_cell_angle_beta 90.00
_cell_angle_gamma 90.00
loop_
_atom_site_label
_atom_site_type_symbol
_atom_site_fract_x
_atom_site_fract_y
_atom_site_fract_z
Ga1 Ga 0.0000 0.0000 0.0000
Bi1 Bi 0.1397 0.3603 0.5000
Te1 Te 0.1715 0.6715 0.0000
# Formation energy from raw total energies (eV/atom): 0.08
# Calculated total energy (eV/atom): -3.3374
# Size of the total moment (Bohr magnetons per cell): 0.0